# GGA-PBE RbGe, relaxed
# formation energy: -93 meV/atom
# relative energy among the computed polymorphs: 95 meV per atom
# DOS(E_F): 0.79 states/eV/atom
data_RbGe
_cell_length_a 5.644
_cell_length_b 4.118
_cell_length_c 7.110
_cell_angle_alpha 90.00
_cell_angle_beta 113.36
_cell_angle_gamma 90.00
_symmetry_space_group_name_H-M 'P 1'
_symmetry_Int_Tables_number 1
loop_
_symmetry_equiv_pos_as_xyz
'x,y,z'
loop_
_atom_site_label
_atom_site_fract_x
_atom_site_fract_y
_atom_site_fract_z
Rb1 0.147 0.250 0.293
Rb2 0.853 0.750 0.707
Ge1 0.445 0.250 0.891
Ge2 0.555 0.750 0.109

# GGA-PBE RbGe, relaxed
# formation energy: -13 meV/atom
# relative energy among the computed polymorphs: 175 meV per atom
# DOS(E_F): 0.33 states/eV/atom
data_RbGe
_cell_length_a 6.152
_cell_length_b 6.152
_cell_length_c 4.884
_cell_angle_alpha 90.00
_cell_angle_beta 90.00
_cell_angle_gamma 120.00
_symmetry_space_group_name_H-M 'P 1'
_symmetry_Int_Tables_number 1
loop_
_symmetry_equiv_pos_as_xyz
'x,y,z'
loop_
_atom_site_label
_atom_site_fract_x
_atom_site_fract_y
_atom_site_fract_z
Rb1 0.333 0.667 0.250
Rb2 0.667 0.333 0.750
Ge1 0.000 0.000 0.000
Ge2 0.000 0.000 0.500